Computed, not measured: a geometry-optimized FeAu structure at the GGA-PBE level of DFT.

Summary:
As for the energy of formation from the pure elements: 1064 meV per atom. The calculation puts the density of states at the Fermi level at 12.0 states/eV/cell. The total energy is -57.667 eV per cell. The symmetry is Pm-3n.

Lattice parameters (Å, degrees): 7.045 7.045 7.045 90.00 90.00 90.00
Element x y z (fractional)
Fe 0.000 0.250 0.500
Fe 0.000 0.750 0.500
Fe 0.250 0.500 0.000
Fe 0.500 0.000 0.250
Fe 0.500 0.000 0.750
Fe 0.750 0.500 0.000
Au 0.000 0.500 0.250
Au 0.000 0.500 0.750
Au 0.250 0.000 0.500
Au 0.500 0.250 0.000
Au 0.500 0.750 0.000
Au 0.750 0.000 0.500

Computed, not measured: a geometry-optimized Sc2Te structure at the GGA-PBE level of DFT.

Summary:
The calculation puts the density of states at the Fermi level at 14.5 states/eV/cell. The total energy is -71.343 eV per cell. The symmetry is Pnma. The uncorrected formation energy is -0.677 eV/atom.

Lattice parameters (Å, degrees): 5.998 4.779 9.464 90.00 90.00 90.00
Element x y z (fractional)
Sc 0.113 0.250 0.211
Sc 0.153 0.250 0.544
Sc 0.347 0.750 0.044
Sc 0.387 0.750 0.711
Sc 0.613 0.250 0.289
Sc 0.653 0.250 0.956
Sc 0.847 0.750 0.456
Sc 0.887 0.750 0.789
Te 0.169 0.250 0.872
Te 0.331 0.750 0.372
Te 0.669 0.250 0.628
Te 0.831 0.750 0.128

Computed, not measured: a geometry-optimized MnFeIr4 structure at the GGA-PBE level of DFT.

Summary:
As for the energy of formation from the pure elements: 376 meV per atom. The calculation puts the density of states at the Fermi level at 7.2 states/eV/cell. The total energy is -50.822 eV per cell. The symmetry is F-43m. For the energy relative to the lowest polymorph listed for this composition, the calculation gives 2.59 eV/f.u.

Lattice parameters (Å, degrees): 5.152 5.152 5.152 60.00 60.00 60.00
Element x y z (fractional)
Mn 0.000 0.000 0.000
Fe 0.250 0.250 0.250
Ir 0.125 0.625 0.625
Ir 0.625 0.125 0.625
Ir 0.625 0.625 0.125
Ir 0.625 0.625 0.625

Computed, not measured: a geometry-optimized Al2Fe2As structure at the GGA-PBE level of DFT.

Summary:
As for the energy of formation from the pure elements: -121 meV per atom. The calculation puts the density of states at the Fermi level at 7.4 states/eV/cell. The total energy is -59.328 eV per cell. The symmetry is P4/mbm. For the energy relative to the lowest polymorph listed for this composition, the calculation gives 0.00 eV/f.u.

Lattice parameters (Å, degrees): 6.056 6.056 3.715 90.00 90.00 90.00
Element x y z (fractional)
Al 0.153 0.347 0.000
Al 0.347 0.847 0.000
Al 0.653 0.153 0.000
Al 0.847 0.653 0.000
Fe 0.152 0.652 0.500
Fe 0.348 0.152 0.500
Fe 0.652 0.848 0.500
Fe 0.848 0.348 0.500
As 0.000 0.000 0.500
As 0.500 0.500 0.500

Computed, not measured: a geometry-optimized PmNd6Y5 structure at the GGA-PBE level of DFT.

Summary:
As for the energy of formation from the pure elements: 13 meV per atom. The calculation puts the density of states at the Fermi level at 16.7 states/eV/cell. The total energy is -65.518 eV per cell. The symmetry is Immm. For the energy relative to the lowest polymorph listed for this composition, the calculation gives 0.05 eV/f.u.

Lattice parameters (Å, degrees): 9.605 9.605 9.605 148.85 115.76 73.11
Element x y z (fractional)
Pm 0.000 0.000 0.000
Nd 0.084 0.833 0.250
Nd 0.251 0.500 0.751
Nd 0.417 0.167 0.250
Nd 0.583 0.833 0.750
Nd 0.749 0.500 0.249
Nd 0.916 0.167 0.750
Y 0.167 0.667 0.500
Y 0.333 0.333 0.000
Y 0.500 0.000 0.500
Y 0.667 0.667 0.000
Y 0.833 0.333 0.500

Computed, not measured: a geometry-optimized MgTeH structure at the GGA-PBE level of DFT.

Summary:
The calculation puts the density of states at the Fermi level at 0.0 states/eV/cell. The total energy is -19.044 eV per cell. The symmetry is P1.

Lattice parameters (Å, degrees): 4.593 4.611 8.623 87.06 89.83 60.20
Element x y z (fractional)
Mg 0.000 0.000 0.000
Mg 0.357 0.283 0.427
Te 0.338 0.323 0.084
Te 0.695 0.605 0.530
H 0.072 0.876 0.770
H 0.967 0.067 0.751

Computed, not measured: a geometry-optimized NaLaGa2Sb structure at the GGA-PBE level of DFT.

Summary:
The calculation puts the density of states at the Fermi level at 5.0 states/eV/cell. The total energy is -12.293 eV per cell. The symmetry is P4/mmm. The uncorrected formation energy is 0.826 eV/atom.

Lattice parameters (Å, degrees): 5.937 5.937 6.312 90.00 90.00 90.00
Element x y z (fractional)
Na 0.000 0.000 0.000
La 0.000 0.000 0.500
Ga 0.000 0.500 0.500
Ga 0.500 0.000 0.500
Sb 0.500 0.500 0.000

Computed, not measured: a geometry-optimized Ca3TcS structure at the GGA-PBE level of DFT.

Summary:
The calculation puts the density of states at the Fermi level at 3.0 states/eV/cell. The total energy is -19.243 eV per cell. The symmetry is Pm-3m. For the energy relative to the lowest polymorph listed for this composition, the calculation gives 1.51 eV/f.u. The uncorrected formation energy is 0.251 eV/atom.

Lattice parameters (Å, degrees): 5.264 5.264 5.264 90.00 90.00 90.00
Element x y z (fractional)
Ca 0.000 0.000 0.500
Ca 0.000 0.500 0.000
Ca 0.500 0.000 0.000
Tc 0.000 0.000 0.000
S 0.500 0.500 0.500

Computed, not measured: a geometry-optimized Zn9Ni4Pt11 structure at the GGA-PBE level of DFT.

Summary:
As for the energy of formation from the pure elements: -387 meV per atom. The calculation puts the density of states at the Fermi level at 18.9 states/eV/cell. The total energy is -110.319 eV per cell. The symmetry is Cmmm.

Lattice parameters (Å, degrees): 11.093 11.093 2.814 90.00 90.00 97.20
Element x y z (fractional)
Zn 0.000 0.000 0.000
Zn 0.112 0.645 0.000
Zn 0.295 0.471 0.000
Zn 0.355 0.888 0.000
Zn 0.471 0.295 0.000
Zn 0.529 0.705 0.000
Zn 0.645 0.112 0.000
Zn 0.705 0.529 0.000
Zn 0.888 0.355 0.000
Ni 0.063 0.220 0.000
Ni 0.220 0.063 0.000
Ni 0.780 0.937 0.000
Ni 0.937 0.780 0.000
Pt 0.092 0.429 0.500
Pt 0.139 0.861 0.500
Pt 0.262 0.262 0.500
Pt 0.321 0.679 0.500
Pt 0.429 0.092 0.500
Pt 0.500 0.500 0.500
Pt 0.571 0.908 0.500
Pt 0.679 0.321 0.500
Pt 0.738 0.738 0.500
Pt 0.861 0.139 0.500
Pt 0.908 0.571 0.500

Computed, not measured: a geometry-optimized MgZr2Cd structure at the GGA-PBE level of DFT.

Summary:
As for the energy of formation from the pure elements: 19 meV per atom. The calculation puts the density of states at the Fermi level at 7.4 states/eV/cell. The total energy is -39.058 eV per cell. The symmetry is C2/m.

Lattice parameters (Å, degrees): 5.861 10.392 2.959 90.00 103.81 90.00
Element x y z (fractional)
Mg 0.000 0.000 0.000
Mg 0.500 0.500 0.000
Zr 0.250 0.250 0.500
Zr 0.250 0.750 0.500
Zr 0.750 0.250 0.500
Zr 0.750 0.750 0.500
Cd 0.000 0.500 0.000
Cd 0.500 0.000 0.000

Computed, not measured: a geometry-optimized PPtS2 structure at the GGA-PBE level of DFT.

Summary:
The calculation puts the density of states at the Fermi level at 7.2 states/eV/cell. The total energy is -74.484 eV per cell. The symmetry is I-42d. The uncorrected formation energy is 0.271 eV/atom.

Lattice parameters (Å, degrees): 4.899 4.899 12.716 90.00 90.00 90.00
Element x y z (fractional)
P 0.000 0.000 0.000
P 0.000 0.500 0.250
P 0.500 0.000 0.750
P 0.500 0.500 0.500
Pt 0.000 0.000 0.500
Pt 0.000 0.500 0.750
Pt 0.500 0.000 0.250
Pt 0.500 0.500 0.000
S 0.241 0.250 0.125
S 0.250 0.741 0.375
S 0.250 0.759 0.875
S 0.259 0.250 0.625
S 0.741 0.750 0.625
S 0.750 0.241 0.875
S 0.750 0.259 0.375
S 0.759 0.750 0.125

Computed, not measured: a geometry-optimized SrTb2Hg9 structure at the GGA-PBE level of DFT.

Summary:
As for the energy of formation from the pure elements: -338 meV per atom. The calculation puts the density of states at the Fermi level at 7.4 states/eV/cell. The total energy is -17.711 eV per cell. The symmetry is P4/mmm.

Lattice parameters (Å, degrees): 4.743 4.743 13.822 90.00 90.00 90.00
Element x y z (fractional)
Sr 0.000 0.000 0.000
Tb 0.000 0.000 0.340
Tb 0.000 0.000 0.660
Hg 0.000 0.500 0.180
Hg 0.000 0.500 0.500
Hg 0.000 0.500 0.820
Hg 0.500 0.000 0.180
Hg 0.500 0.000 0.500
Hg 0.500 0.000 0.820
Hg 0.500 0.500 0.000
Hg 0.500 0.500 0.344
Hg 0.500 0.500 0.656